(1)
Computed, not measured: a crystal of LiPt5 relaxed with PBEsol at the meta-GGA SCAN level of DFT.

```
data_LiPt5
_chemical_formula_sum 'Li2 Pt10'
_space_group_name_H-M_alt 'C m m m'
_space_group_IT_number 65
_space_group_name_Hall '-C 2 2'
_cell_length_a 3.8512
_cell_length_b 11.6157
_cell_length_c 3.8415
_cell_angle_alpha 90.00
_cell_angle_beta 90.00
_cell_angle_gamma 90.00
loop_
_atom_site_label
_atom_site_type_symbol
_atom_site_fract_x
_atom_site_fract_y
_atom_site_fract_z
Li1 Li 0.0000 0.0000 0.0000
Pt1 Pt 0.0000 0.1657 0.5000
Pt2 Pt 0.0000 0.3399 0.0000
Pt3 Pt 0.0000 0.5000 0.5000
```

Calculated values
Energy of formation from the pure elements ... -0.330 eV per atom

***

(2)
Computed, not measured: a crystal of LiPt8 relaxed with PBEsol at the meta-GGA SCAN level of DFT.

```
data_LiPt8
_chemical_formula_sum 'Li2 Pt16'
_space_group_name_H-M_alt 'I 4/m m m'
_space_group_IT_number 139
_space_group_name_Hall '-I 4 2'
_cell_length_a 8.2160
_cell_length_b 8.2160
_cell_length_c 3.8833
_cell_angle_alpha 90.00
_cell_angle_beta 90.00
_cell_angle_gamma 90.00
loop_
_atom_site_label
_atom_site_type_symbol
_atom_site_fract_x
_atom_site_fract_y
_atom_site_fract_z
Li1 Li 0.0000 0.0000 0.0000
Pt1 Pt 0.0000 0.3279 0.0000
Pt2 Pt 0.1627 0.1627 0.5000
```

Calculated values
Energy of formation from the pure elements ... -0.208 eV per atom

***

(3)
Computed, not measured: a crystal of LiPt3 relaxed with PBEsol at the meta-GGA SCAN level of DFT.

```
data_LiPt3
_chemical_formula_sum 'Li1 Pt3'
_space_group_name_H-M_alt 'P m m m'
_space_group_IT_number 47
_space_group_name_Hall '-P 2 2'
_cell_length_a 2.6992
_cell_length_b 3.9615
_cell_length_c 5.3518
_cell_angle_alpha 90.00
_cell_angle_beta 90.00
_cell_angle_gamma 90.00
loop_
_atom_site_label
_atom_site_type_symbol
_atom_site_fract_x
_atom_site_fract_y
_atom_site_fract_z
Li1 Li 0.0000 0.0000 0.0000
Pt1 Pt 0.0000 0.0000 0.5000
Pt2 Pt 0.5000 0.5000 0.2462
```

Calculated values
Energy of formation from the pure elements ... -0.309 eV per atom

***

(4)
Computed, not measured: a crystal of LiPt2 relaxed with PBEsol at the meta-GGA SCAN level of DFT.

```
data_LiPt2
_chemical_formula_sum 'Li2 Pt4'
_space_group_name_H-M_alt 'I m m m'
_space_group_IT_number 71
_space_group_name_Hall '-I 2 2'
_cell_length_a 2.6674
_cell_length_b 3.9281
_cell_length_c 8.0514
_cell_angle_alpha 90.00
_cell_angle_beta 90.00
_cell_angle_gamma 90.00
loop_
_atom_site_label
_atom_site_type_symbol
_atom_site_fract_x
_atom_site_fract_y
_atom_site_fract_z
Li1 Li 0.0000 0.0000 0.0000
Pt1 Pt 0.0000 0.0000 0.3351
```

Calculated values
Energy of formation from the pure elements ... -0.354 eV per atom
Excess energy over the best structure of this formula in the dataset ... 16.29 kJ per mole of atoms